Computed, not measured: a relaxed structure of AcPmO4 at the GGA-PBE level of DFT.

```
6
Lattice="4.151 0.000 0.000 -2.076 3.421 -0.425 0.000 -0.069 6.715" Properties=species:S:1:pos:R:3 pbc="T T T"
Ac 0.000 3.053 2.859
Pm 0.000 0.369 0.091
O 2.076 1.124 5.453
O 0.000 2.739 0.307
O 0.000 0.627 2.429
O 2.076 2.180 4.370
```

Computed properties:
Raw total energy, eV per cell: -45.74